! AcPr2Ti PBE relaxed; values from VASP
&SYSTEM
  ibrav = 0, nat = 4, ntyp = 3
/
ATOMIC_SPECIES
Pr 140.91 Pr.upf
Ac 227.00 Ac.upf
Ti 47.87 Ti.upf
CELL_PARAMETERS angstrom
-0.0615 2.4149 2.6200
2.1448 -0.3766 2.8211
9.4679 7.1959 -3.9867
ATOMIC_POSITIONS crystal
Pr 0.0812 0.0812 0.7563
Pr 0.9188 0.9188 0.2437
Ac 0.5000 0.5000 0.5000
Ti 0.0000 0.0000 0.0000
! Calculated volume in Å³/atom: 34.021
! Energy of formation in kJ per mole of atoms: 52.5
! Magnetization in μB/cell: 2.0
! Electronic total energy in eV/atom: -4.85
! DOS(E_F) in states/eV/cell: 6.29